Entry from Alexandria via LeMat-Bulk: LiCoPO4 after structural relaxation (PBE+U).

Lattice parameters (Å, degrees): 5.1639 5.4212 8.4744 89.52 88.96 61.56
Space group P1 (No. 1)
One atom of each set of equivalent atoms:
Li (0.0000, 0.0000, 0.0000) (multiplicity 1)
Li (0.3667, 0.2662, 0.5002) (multiplicity 1)
Co (0.5510, 0.9066, 0.8099) (multiplicity 1)
Co (0.8255, 0.3577, 0.3099) (multiplicity 1)
P (0.4889, 0.0250, 0.1912) (multiplicity 1)
P (0.8814, 0.2394, 0.6913) (multiplicity 1)
O (0.0004, 0.2668, 0.5255) (multiplicity 1)
O (0.1316, 0.9960, 0.7853) (multiplicity 1)
O (0.1593, 0.1015, 0.1695) (multiplicity 1)
O (0.4954, 0.2683, 0.2856) (multiplicity 1)
O (0.6286, 0.1626, 0.6694) (multiplicity 1)
O (0.6348, 0.9985, 0.0254) (multiplicity 1)
O (0.6529, 0.7561, 0.2882) (multiplicity 1)
O (0.7764, 0.5079, 0.7888) (multiplicity 1)

## Properties
DFT total energy: -92.3 eV per cell
total magnetization: 6.00 μB/cell
E above lowest polymorph: 0.0546 eV per atom